# 1
Density functional theory data (PBE-GGA) for a relaxed BaSe2 crystal.

energy relative to the elements, uncorrected	-2.2	eV/f.u.
DFT total energy	-3.700	eV/atom
D(E_F)	0.795	states/eV per atom
space group	P4/mmm (123)

Structure (POSCAR):
```
BaSe2
1.0
5.7019 0.0000 0.0000
0.0000 5.7019 0.0000
0.0000 0.0000 3.3641
Ba Se
1 2
Direct
0.0000 0.0000 0.0000
0.0000 0.5000 0.5000
0.5000 0.0000 0.5000
```

# 2
Density functional theory data (PBE-GGA) for a relaxed BaSe5 crystal.

energy relative to the elements, uncorrected	-3.7	eV/f.u.
DFT total energy	-3.839	eV/atom
ΔE to the lowest computed polymorph	0.000	eV/atom
space group	P-1 (2)

Structure (POSCAR):
```
BaSe5
1.0
5.9101 0.0000 0.0000
-0.0565 6.9359 0.0000
-2.4224 -2.4914 9.9271
Ba Se
2 10
Direct
0.0925 0.2992 0.2713
0.9075 0.7008 0.7287
0.1499 0.8711 0.0581
0.1787 0.0171 0.5945
0.3175 0.6906 0.5559
0.4352 0.4908 0.8085
0.4591 0.2323 0.9154
0.5409 0.7677 0.0846
0.5648 0.5092 0.1915
0.6825 0.3094 0.4441
0.8213 0.9829 0.4055
0.8501 0.1289 0.9419
```

# 3
Density functional theory data (PBE-GGA) for a relaxed BaSe crystal.

energy relative to the elements, uncorrected	-3.4	eV/f.u.
DFT total energy	-4.384	eV/atom
space group	I4_1/amd (141)

Structure (POSCAR):
```
BaSe
1.0
-2.2881 2.2881 7.1302
2.2881 -2.2881 7.1302
2.2881 2.2881 -7.1302
Ba Se
2 2
Direct
0.3750 0.6250 0.7500
0.6250 0.3750 0.2500
0.1250 0.8750 0.2500
0.8750 0.1250 0.7500
```

# 4
Density functional theory data (PBE-GGA) for a relaxed BaSe2 crystal.

energy relative to the elements, uncorrected	-3.7	eV/f.u.
DFT total energy	-4.199	eV/atom
D(E_F)	0.624	states/eV per atom
space group	P-62m (189)

Structure (POSCAR):
```
BaSe2
1.0
8.7269 0.0000 0.0000
-4.3635 7.5577 0.0000
0.0000 0.0000 5.0797
Ba Se
3 6
Direct
0.0000 0.0000 0.0000
0.3333 0.6667 0.5000
0.6667 0.3333 0.5000
0.0000 0.2812 0.5000
0.0000 0.3784 0.0000
0.2812 0.0000 0.5000
0.3784 0.0000 0.0000
0.6216 0.6216 0.0000
0.7188 0.7188 0.5000
```